## LaAg2Os (PBE)

Data for crystalline LaAg2Os at its relaxed geometry.

Values from the calculation:
total energy: -20.2 eV/f.u.
M_tot: 0.00 μB/f.u.
ΔH_f (0 K): 0.416 eV/atom

Unit cell a=2.964 b=4.690 c=5.743 alpha=90.00 beta=90.00 gamma=90.00
Positions (direct):
La 0.000 0.000 0.000
Ag 0.500 0.500 0.270
Ag 0.500 0.500 0.730
Os 0.000 0.000 0.500